Entry 1:
Computed, not measured: KCuP2 after structural relaxation at the PBE-GGA level of DFT.

Unit cell a=5.107 b=5.107 c=5.107 alpha=130.18 beta=130.18 gamma=73.12
Positions (direct):
K (0.000, 0.000, 0.000)
Cu (0.750, 0.250, 0.500)
P (0.250, 0.750, 0.500)
P (0.500, 0.500, 0.000)

Output
The formation energy from the elements is 0.6792 eV per atom. The calculation puts the total magnetization at 0.00 μB per formula unit. The calculation puts the polymorph energy (0 for the lowest one) at 814 meV/atom. As for the space-group type: I-4m2 (119). The value obtained for the total energy is -3.324 eV/atom. As for the density of states at the Fermi level: 1.89 states/eV/f.u.

---

Entry 2:
Computed, not measured: Cs3Tb2BiSe6 after structural relaxation at the PBE-GGA level of DFT.

Unit cell a=7.491 b=7.491 c=8.730 alpha=98.22 beta=98.22 gamma=119.99
Positions (direct):
Cs (0.000, 0.000, 0.000)
Cs (0.335, 0.665, 0.000)
Cs (0.665, 0.335, 0.000)
Tb (0.167, 0.833, 0.500)
Tb (0.833, 0.167, 0.500)
Bi (0.500, 0.500, 0.500)
Se (0.097, 0.437, 0.312)
Se (0.222, 0.222, 0.687)
Se (0.437, 0.097, 0.312)
Se (0.563, 0.903, 0.688)
Se (0.778, 0.778, 0.313)
Se (0.903, 0.563, 0.688)

Output
The calculation puts the total magnetization at 0.00 μB per formula unit. As for the space-group type: C2/m (12). The value obtained for the total energy is -4.467 eV/atom. As for the density of states at the Fermi level: 0.00 states/eV/f.u. The value obtained for the formation energy without anion corrections is -1.416 eV per atom.

---

Entry 3:
Computed, not measured: SrPmTlIn after structural relaxation at the PBE-GGA level of DFT.

Unit cell a=5.613 b=5.613 c=5.613 alpha=60.00 beta=60.00 gamma=60.00
Positions (direct):
Sr (0.000, 0.000, 0.000)
Pm (0.500, 0.500, 0.500)
Tl (0.250, 0.250, 0.250)
In (0.750, 0.750, 0.750)

Output
The formation energy from the elements is -0.3788 eV per atom. The calculation puts the total magnetization at 0.00 μB per formula unit. The calculation puts the polymorph energy (0 for the lowest one) at 49 meV/atom. As for the space-group type: F-43m (216). The value obtained for the total energy is -3.263 eV/atom. As for the density of states at the Fermi level: 3.28 states/eV/f.u.

---

Entry 4:
Computed, not measured: Si2As2S7 after structural relaxation at the PBE-GGA level of DFT.

Unit cell a=6.757 b=6.757 c=5.733 alpha=96.17 beta=96.17 gamma=102.26
Positions (direct):
Si (0.230, 0.230, 0.401)
Si (0.770, 0.770, 0.599)
As (0.323, 0.677, 0.000)
As (0.677, 0.323, 0.000)
S (0.000, 0.000, 0.500)
S (0.091, 0.441, 0.241)
S (0.394, 0.394, 0.751)
S (0.441, 0.091, 0.241)
S (0.559, 0.909, 0.759)
S (0.606, 0.606, 0.249)
S (0.909, 0.559, 0.759)

Output
The calculation puts the total magnetization at 0.00 μB per formula unit. As for the space-group type: C2/m (12). The value obtained for the total energy is -4.586 eV/atom. The value obtained for the formation energy without anion corrections is -0.128 eV per atom.

---

Entry 5:
Computed, not measured: RbLaTcOs2 after structural relaxation at the PBE-GGA level of DFT.

Unit cell a=4.828 b=4.828 c=5.180 alpha=90.00 beta=90.00 gamma=90.00
Positions (direct):
Rb (0.000, 0.000, 0.000)
La (0.500, 0.500, 0.000)
Tc (0.000, 0.000, 0.500)
Os (0.000, 0.500, 0.500)
Os (0.500, 0.000, 0.500)

Output
The formation energy from the elements is 1.3330 eV per atom. The calculation puts the total magnetization at 0.00 μB per formula unit. As for the space-group type: P4/mmm (123). The value obtained for the total energy is -6.411 eV/atom. As for the density of states at the Fermi level: 3.62 states/eV/f.u.

---

Entry 6:
Computed, not measured: La2SeNCl2 after structural relaxation at the PBE-GGA level of DFT.

Unit cell a=4.337 b=8.521 c=7.591 alpha=90.00 beta=90.00 gamma=90.00
Positions (direct):
La (0.000, 0.116, 0.000)
La (0.000, 0.884, 0.500)
La (0.500, 0.282, 0.436)
La (0.500, 0.718, 0.936)
Se (0.500, 0.038, 0.723)
Se (0.500, 0.962, 0.223)
N (0.000, 0.167, 0.380)
N (0.000, 0.833, 0.880)
Cl (0.000, 0.374, 0.720)
Cl (0.000, 0.626, 0.220)
Cl (0.500, 0.353, 0.059)
Cl (0.500, 0.647, 0.559)

Output
The calculation puts the total magnetization at 1.01 μB per formula unit. As for the space-group type: Pmc2_1 (26). The value obtained for the total energy is -5.992 eV/atom. As for the density of states at the Fermi level: 0.63 states/eV/f.u. The value obtained for the formation energy without anion corrections is -1.766 eV per atom.

---

Entry 7:
Computed, not measured: GaAsPbBr2 after structural relaxation at the PBE-GGA level of DFT.

Unit cell a=5.189 b=5.189 c=5.210 alpha=90.00 beta=90.00 gamma=90.00
Positions (direct):
Ga (0.000, 0.000, 0.000)
As (0.000, 0.000, 0.500)
Pb (0.500, 0.500, 0.500)
Br (0.000, 0.500, 0.000)
Br (0.500, 0.000, 0.000)

Output
The calculation puts the total magnetization at 0.00 μB per formula unit. The calculation puts the polymorph energy (0 for the lowest one) at 0 meV/atom. As for the space-group type: P4/mmm (123). The value obtained for the total energy is -3.015 eV/atom. As for the density of states at the Fermi level: 3.26 states/eV/f.u. The value obtained for the formation energy without anion corrections is -0.069 eV per atom.

---

Entry 8:
Computed, not measured: Ta2TiPd after structural relaxation at the PBE-GGA level of DFT.

Unit cell a=10.400 b=10.400 c=10.400 alpha=158.85 beta=158.85 gamma=30.09
Positions (direct):
Ta (0.120, 0.625, 0.995)
Ta (0.375, 0.370, 0.495)
Ta (0.630, 0.125, 0.005)
Ta (0.875, 0.880, 0.505)
Ti (0.000, 0.000, 0.000)
Ti (0.750, 0.250, 0.500)
Pd (0.250, 0.750, 0.500)
Pd (0.500, 0.500, 0.000)

Output
The formation energy from the elements is 0.3288 eV per atom. The calculation puts the total magnetization at 0.00 μB per formula unit. The calculation puts the polymorph energy (0 for the lowest one) at 548 meV/atom. As for the space-group type: I-42d (122). The value obtained for the total energy is -8.869 eV/atom. As for the density of states at the Fermi level: 4.14 states/eV/f.u.